The following is a PBEsol calculation of an optimized crystal structure of Ca5Ge3O11, from Alexandria.

Values from the calculation:
As for the crystal system: triclinic. For the uncorrected formation energy, the calculation gives -2542 meV/atom. For the volume, the calculation gives 516.19 Å³/cell.

Lattice parameters (Å, degrees): 6.9461 6.9658 10.9949 85.37 84.60 77.56
Element x y z (fractional)
O: 0.1342 0.1521 0.8754
O: 0.7549 0.4198 0.7900
O: 0.1643 0.1584 0.6223
O: 0.3993 0.7785 0.7964
O: 0.7059 0.0070 0.8965
O: 0.9885 0.3129 0.1055
O: 0.2835 0.9653 0.3874
O: 0.6344 0.6565 0.5760
O: 0.4087 0.4251 0.6694
O: 0.6251 0.6358 0.0376
O: 0.8658 0.8479 0.1246
O: 0.3656 0.3435 0.4240
O: 0.2941 0.9930 0.1035
O: 0.9731 0.2877 0.3938
O: 0.2451 0.5802 0.2100
O: 0.0269 0.7123 0.6062
O: 0.5913 0.5749 0.3306
O: 0.6007 0.2215 0.2036
O: 0.8357 0.8416 0.3777
O: 0.0115 0.6871 0.8945
O: 0.7165 0.0347 0.6126
O: 0.3749 0.3642 0.9624
Ge: 0.1932 0.1830 0.4639
Ge: 0.8068 0.8170 0.5361
Ge: 0.2072 0.2144 0.0158
Ge: 0.4534 0.4286 0.2658
Ge: 0.5466 0.5714 0.7342
Ge: 0.7928 0.7856 0.9842
Ca: 0.4588 0.0931 0.7664
Ca: 0.5412 0.9069 0.2336
Ca: 0.7111 0.2976 0.9961
Ca: 0.9942 0.9692 0.7567
Ca: 0.0058 0.0308 0.2433
Ca: 0.0756 0.4515 0.7544
Ca: 0.2889 0.7024 0.0039
Ca: 0.9244 0.5485 0.2456
Ca: 0.6815 0.3261 0.5060
Ca: 0.3185 0.6739 0.4940